[1]
## LaPr5Hg6 (GGA-PBE)

Data for a relaxed structure of LaPr5Hg6.

Output
crystal system: monoclinic
formation energy: -5.73 eV/f.u.

a b c (Å): 5.4649 7.7696 8.6442
angles (deg): 90.00 108.22 90.00
Last column: nearest neighbours and their distance in Å.
Space group P2/m (No. 10)
Asymmetric unit:
La 0.0000 0.0000 0.0000 (multiplicity 1)  8 Hg 3.36-3.38
Pr 0.0000 0.5000 0.0000 (multiplicity 1)  8 Hg 3.35-3.36
Pr 0.3324 0.0000 0.6656 (multiplicity 2)  8 Hg 3.35-3.37
Pr 0.3341 0.5000 0.6685 (multiplicity 2)  8 Hg 3.34-3.35
Hg 0.1681 0.2520 0.3352 (multiplicity 4)  7 Pr 3.34-3.36, 1 La 3.38
Hg 0.5000 0.2511 0.0000 (multiplicity 2)  6 Pr 3.34-3.37, 2 La 3.36



[2]
## La14PrHg (GGA-PBE)

Data for a relaxed structure of La14PrHg.

Output
crystal system: orthorhombic
formation energy: -0.80 eV/f.u.

a b c (Å): 10.4344 10.3561 10.3559
angles (deg): 90.00 90.00 90.00
Last column: nearest neighbours and their distance in Å.
Space group Amm2 (No. 38)
Asymmetric unit:
La 0.0000 0.0000 0.0000 (multiplicity 2)  12 La 3.55-3.82
La 0.0000 0.0000 0.4904 (multiplicity 2)  12 La 3.59-3.73
La 0.0000 0.2425 0.2421 (multiplicity 4)  12 La 3.55-3.77
La 0.2431 0.0000 0.7388 (multiplicity 4)  10 La 3.58-3.74, 1 Hg 3.69, 1 Pr 3.75
La 0.2560 0.2435 0.4934 (multiplicity 8)  10 La 3.56-3.77, 1 Hg 3.58, 1 Pr 3.68
La 0.2683 0.0000 0.2516 (multiplicity 4)  1 Hg 3.48, 10 La 3.56-3.82, 1 Pr 3.62
La 0.5000 0.2351 0.7383 (multiplicity 4)  2 Hg 3.51-3.81, 2 Pr 3.58-3.75, 8 La 3.59-3.68
Pr 0.5000 0.0000 0.9914 (multiplicity 2)  12 La 3.58-3.75
Hg 0.5000 0.0000 0.4938 (multiplicity 2)  12 La 3.48-3.81



Number 2 is which compound? La14PrHg